No. 1
The following is a DFT calculation (GGA-PBE) of a geometry-optimized Pr2TlH structure.

density	8.10	g/cm3
total magnetic moment	0.00	μB per formula unit
total energy	-4.1016	eV/atom
energy relative to the lowest polymorph listed for this composition	142	meV/atom

a b c (Å): 8.505 8.505 8.505
angles (deg): 25.44 25.44 25.44
Atoms (fractional coordinates):
Pr (0.000, 0.000, 0.000)
Pr (0.216, 0.216, 0.216)
Tl (0.441, 0.441, 0.441)
H (0.607, 0.607, 0.607)

No. 2
The following is a DFT calculation (GGA-PBE) of a geometry-optimized Pr3TlH structure.

density	8.03	g/cm3
total magnetic moment	1.37	μB per formula unit
total energy	-4.3151	eV/atom
energy relative to the lowest polymorph listed for this composition	0	meV/atom

a b c (Å): 5.064 5.064 5.064
angles (deg): 90.00 90.00 90.00
Atoms (fractional coordinates):
Pr (0.000, 0.000, 0.500)
Pr (0.000, 0.500, 0.000)
Pr (0.500, 0.000, 0.000)
Tl (0.500, 0.500, 0.500)
H (0.000, 0.000, 0.000)

No. 3
The following is a DFT calculation (GGA-PBE) of a geometry-optimized Pr6Tl5H structure.

density	8.52	g/cm3
total magnetic moment	0.00	μB per formula unit
total energy	-3.8767	eV/atom

a b c (Å): 6.873 6.873 9.247
angles (deg): 98.65 98.65 119.16
Atoms (fractional coordinates):
Pr (0.034, 0.342, 0.202)
Pr (0.221, 0.221, 0.706)
Pr (0.342, 0.034, 0.202)
Pr (0.658, 0.966, 0.798)
Pr (0.779, 0.779, 0.294)
Pr (0.966, 0.658, 0.798)
Tl (0.219, 0.781, 0.500)
Tl (0.370, 0.630, 0.000)
Tl (0.500, 0.500, 0.500)
Tl (0.630, 0.370, 0.000)
Tl (0.781, 0.219, 0.500)
H (0.000, 0.000, 0.000)

No. 4
The following is a DFT calculation (GGA-PBE) of a geometry-optimized Pr2TlH structure.

density	8.16	g/cm3
total magnetic moment	0.00	μB per formula unit
total energy	-4.1176	eV/atom
energy relative to the lowest polymorph listed for this composition	126	meV/atom

a b c (Å): 10.325 5.632 7.247
angles (deg): 90.00 109.74 90.00
Atoms (fractional coordinates):
Pr (0.067, 0.250, 0.030)
Pr (0.067, 0.250, 0.530)
Pr (0.294, 0.739, 0.396)
Pr (0.294, 0.761, 0.896)
Pr (0.706, 0.239, 0.104)
Pr (0.706, 0.261, 0.604)
Pr (0.933, 0.750, 0.470)
Pr (0.933, 0.750, 0.970)
Tl (0.401, 0.248, 0.204)
Tl (0.401, 0.252, 0.704)
Tl (0.599, 0.748, 0.296)
Tl (0.599, 0.752, 0.796)
H (0.070, 0.549, 0.284)
H (0.070, 0.951, 0.784)
H (0.930, 0.049, 0.216)
H (0.930, 0.451, 0.716)

No. 5
The following is a DFT calculation (GGA-PBE) of a geometry-optimized PrTlH structure.

density	8.36	g/cm3
total magnetic moment	0.00	μB per formula unit
total energy	-3.8774	eV/atom
energy relative to the lowest polymorph listed for this composition	77	meV/atom

a b c (Å): 10.474 10.474 10.474
angles (deg): 21.69 21.69 21.69
Atoms (fractional coordinates):
Pr (0.215, 0.215, 0.215)
Pr (0.785, 0.785, 0.785)
Tl (0.369, 0.369, 0.369)
Tl (0.631, 0.631, 0.631)
H (0.138, 0.138, 0.138)
H (0.862, 0.862, 0.862)

No. 6
The following is a DFT calculation (GGA-PBE) of a geometry-optimized Pr3TlH2 structure.

density	7.88	g/cm3
total magnetic moment	0.00	μB per formula unit
total energy	-4.3093	eV/atom
energy relative to the lowest polymorph listed for this composition	0	meV/atom

a b c (Å): 6.502 6.502 6.502
angles (deg): 136.29 134.95 64.57
Atoms (fractional coordinates):
Pr (0.000, 0.000, 0.000)
Pr (0.259, 0.759, 0.500)
Pr (0.741, 0.241, 0.500)
Tl (0.500, 0.500, 0.000)
H (0.213, 0.213, 0.000)
H (0.787, 0.787, 0.000)

No. 7
The following is a DFT calculation (GGA-PBE) of a geometry-optimized PrTlH structure.

density	8.45	g/cm3
total magnetic moment	0.00	μB per formula unit
total energy	-3.6721	eV/atom
energy relative to the lowest polymorph listed for this composition	282	meV/atom

a b c (Å): 6.490 6.490 6.490
angles (deg): 150.02 150.02 42.91
Atoms (fractional coordinates):
Pr (0.000, 0.000, 0.000)
Tl (0.273, 0.273, 0.000)
H (0.534, 0.534, 0.000)

No. 8
The following is a DFT calculation (GGA-PBE) of a geometry-optimized Pr2TlH structure.

density	8.00	g/cm3
total magnetic moment	0.58	μB per formula unit
total energy	-4.2436	eV/atom
energy relative to the lowest polymorph listed for this composition	0	meV/atom

a b c (Å): 6.855 6.855 5.669
angles (deg): 90.00 90.00 130.61
Atoms (fractional coordinates):
Pr (0.149, 0.348, 0.000)
Pr (0.348, 0.149, 0.500)
Pr (0.652, 0.851, 0.500)
Pr (0.851, 0.652, 0.000)
Tl (0.000, 0.500, 0.500)
Tl (0.500, 0.000, 0.000)
H (0.000, 0.000, 0.250)
H (0.000, 0.000, 0.750)

No. 9
The following is a DFT calculation (GGA-PBE) of a geometry-optimized PrTlH structure.

density	9.14	g/cm3
total magnetic moment	0.00	μB per formula unit
total energy	-3.9545	eV/atom
energy relative to the lowest polymorph listed for this composition	0	meV/atom

a b c (Å): 4.143 4.625 6.879
angles (deg): 90.00 107.29 90.00
Atoms (fractional coordinates):
Pr (0.166, 0.250, 0.330)
Pr (0.834, 0.750, 0.670)
Tl (0.424, 0.250, 0.861)
Tl (0.576, 0.750, 0.139)
H (0.245, 0.750, 0.489)
H (0.755, 0.250, 0.511)

No. 10
The following is a DFT calculation (GGA-PBE) of a geometry-optimized PrTmTlH structure.

density	9.20	g/cm3
total magnetic moment	0.00	μB per formula unit
total energy	-4.0929	eV/atom

a b c (Å): 4.564 4.564 8.927
angles (deg): 90.00 90.00 90.00
Atoms (fractional coordinates):
Pr (0.250, 0.250, 0.114)
Pr (0.750, 0.750, 0.886)
Tm (0.250, 0.750, 0.500)
Tm (0.750, 0.250, 0.500)
Tl (0.250, 0.250, 0.739)
Tl (0.750, 0.750, 0.261)
H (0.250, 0.750, 0.000)
H (0.750, 0.250, 0.000)

No. 11
The following is a DFT calculation (GGA-PBE) of a geometry-optimized Pr2Y4Tl3H2 structure.

density	7.20	g/cm3
total magnetic moment	0.00	μB per formula unit
total energy	-4.8030	eV/atom

a b c (Å): 12.847 12.847 12.847
angles (deg): 158.33 158.33 30.83
Atoms (fractional coordinates):
Pr (0.197, 0.197, 0.000)
Pr (0.803, 0.803, 0.000)
Y (0.082, 0.582, 0.500)
Y (0.418, 0.918, 0.500)
Y (0.582, 0.082, 0.500)
Y (0.918, 0.418, 0.500)
Tl (0.330, 0.330, 0.000)
Tl (0.500, 0.500, 0.000)
Tl (0.670, 0.670, 0.000)
H (0.097, 0.097, 0.000)
H (0.903, 0.903, 0.000)

No. 12
The following is a DFT calculation (GGA-PBE) of a geometry-optimized Pr2TmH structure.

density	7.22	g/cm3
total magnetic moment	0.00	μB per formula unit
total energy	-4.4751	eV/atom
energy relative to the lowest polymorph listed for this composition	0	meV/atom

a b c (Å): 9.125 9.125 9.125
angles (deg): 23.25 23.25 23.25
Atoms (fractional coordinates):
Pr (0.224, 0.224, 0.224)
Pr (0.776, 0.776, 0.776)
Tm (0.000, 0.000, 0.000)
H (0.500, 0.500, 0.500)

No. 13
The following is a DFT calculation (GGA-PBE) of a geometry-optimized PrTm3H8 structure.

density	7.82	g/cm3
total magnetic moment	0.00	μB per formula unit
total energy	-4.4394	eV/atom

a b c (Å): 5.183 5.183 5.183
angles (deg): 90.00 90.00 90.00
Atoms (fractional coordinates):
Pr (0.000, 0.000, 0.000)
Tm (0.000, 0.500, 0.500)
Tm (0.500, 0.000, 0.500)
Tm (0.500, 0.500, 0.000)
H (0.262, 0.262, 0.262)
H (0.262, 0.262, 0.738)
H (0.262, 0.738, 0.262)
H (0.262, 0.738, 0.738)
H (0.738, 0.262, 0.262)
H (0.738, 0.262, 0.738)
H (0.738, 0.738, 0.262)
H (0.738, 0.738, 0.738)

No. 14
The following is a DFT calculation (GGA-PBE) of a geometry-optimized Pr5Tm3H12 structure.

density	6.73	g/cm3
total magnetic moment	0.00	μB per formula unit
total energy	-4.2841	eV/atom

a b c (Å): 11.619 11.619 11.619
angles (deg): 109.47 109.47 109.47
Atoms (fractional coordinates):
Pr (0.000, 0.000, 0.000)
Pr (0.000, 0.000, 0.500)
Pr (0.000, 0.500, 0.000)
Pr (0.000, 0.500, 0.500)
Pr (0.125, 0.750, 0.875)
Pr (0.125, 0.875, 0.250)
Pr (0.250, 0.125, 0.875)
Pr (0.250, 0.625, 0.375)
Pr (0.375, 0.250, 0.625)
Pr (0.375, 0.625, 0.750)
Pr (0.500, 0.000, 0.000)
Pr (0.500, 0.000, 0.500)
Pr (0.500, 0.500, 0.000)
Pr (0.500, 0.500, 0.500)
Pr (0.625, 0.375, 0.250)
Pr (0.625, 0.750, 0.375)
Pr (0.750, 0.375, 0.625)
Pr (0.750, 0.875, 0.125)
Pr (0.875, 0.125, 0.750)
Pr (0.875, 0.250, 0.125)
Tm (0.125, 0.250, 0.375)
Tm (0.125, 0.375, 0.750)
Tm (0.250, 0.375, 0.125)
Tm (0.250, 0.875, 0.625)
Tm (0.375, 0.125, 0.250)
Tm (0.375, 0.750, 0.125)
Tm (0.625, 0.250, 0.875)
Tm (0.625, 0.875, 0.750)
Tm (0.750, 0.125, 0.375)
Tm (0.750, 0.625, 0.875)
Tm (0.875, 0.625, 0.250)
Tm (0.875, 0.750, 0.625)
H (0.067, 0.730, 0.655)
H (0.067, 0.836, 0.411)
H (0.075, 0.230, 0.164)
H (0.075, 0.345, 0.911)
H (0.089, 0.664, 0.433)
H (0.089, 0.925, 0.655)
H (0.155, 0.230, 0.567)
H (0.155, 0.425, 0.589)
H (0.164, 0.075, 0.230)
H (0.164, 0.589, 0.933)
H (0.230, 0.164, 0.075)
H (0.230, 0.567, 0.155)
H (0.270, 0.345, 0.933)
H (0.270, 0.425, 0.336)
H (0.336, 0.270, 0.425)
H (0.336, 0.567, 0.911)
H (0.345, 0.911, 0.075)
H (0.345, 0.933, 0.270)
H (0.411, 0.067, 0.836)
H (0.411, 0.845, 0.575)
H (0.425, 0.336, 0.270)
H (0.425, 0.589, 0.155)
H (0.433, 0.089, 0.664)
H (0.433, 0.845, 0.770)
H (0.567, 0.155, 0.230)
H (0.567, 0.911, 0.336)
H (0.575, 0.411, 0.845)
H (0.575, 0.664, 0.730)
H (0.589, 0.155, 0.425)
H (0.589, 0.933, 0.164)
H (0.655, 0.067, 0.730)
H (0.655, 0.089, 0.925)
H (0.664, 0.433, 0.089)
H (0.664, 0.730, 0.575)
H (0.730, 0.575, 0.664)
H (0.730, 0.655, 0.067)
H (0.770, 0.433, 0.845)
H (0.770, 0.836, 0.925)
H (0.836, 0.411, 0.067)
H (0.836, 0.925, 0.770)
H (0.845, 0.575, 0.411)
H (0.845, 0.770, 0.433)
H (0.911, 0.075, 0.345)
H (0.911, 0.336, 0.567)
H (0.925, 0.655, 0.089)
H (0.925, 0.770, 0.836)
H (0.933, 0.164, 0.589)
H (0.933, 0.270, 0.345)

No. 15
The following is a DFT calculation (GGA-PBE) of a geometry-optimized PrTm3H structure.

density	8.74	g/cm3
total magnetic moment	0.00	μB per formula unit
total energy	-4.4647	eV/atom

a b c (Å): 4.977 4.977 4.977
angles (deg): 90.00 90.00 90.00
Atoms (fractional coordinates):
Pr (0.000, 0.000, 0.000)
Tm (0.000, 0.500, 0.500)
Tm (0.500, 0.000, 0.500)
Tm (0.500, 0.500, 0.000)
H (0.500, 0.500, 0.500)

No. 16
The following is a DFT calculation (GGA-PBE) of a geometry-optimized PrTmH2 structure.

density	7.96	g/cm3
total magnetic moment	0.00	μB per formula unit
total energy	-4.2581	eV/atom
energy relative to the lowest polymorph listed for this composition	82	meV/atom

a b c (Å): 6.362 6.362 6.362
angles (deg): 32.21 32.21 32.21
Atoms (fractional coordinates):
Pr (0.000, 0.000, 0.000)
Tm (0.178, 0.178, 0.178)
H (0.577, 0.577, 0.577)
H (0.784, 0.784, 0.784)

No. 17
The following is a DFT calculation (GGA-PBE) of a geometry-optimized Pr2TmH structure.

density	7.26	g/cm3
total magnetic moment	0.00	μB per formula unit
total energy	-4.2562	eV/atom
energy relative to the lowest polymorph listed for this composition	219	meV/atom

a b c (Å): 3.461 3.461 8.622
angles (deg): 90.00 90.00 90.00
Atoms (fractional coordinates):
Pr (0.000, 0.000, 0.192)
Pr (0.000, 0.000, 0.808)
Tm (0.500, 0.500, 0.500)
H (0.500, 0.500, 0.000)

No. 18
The following is a DFT calculation (GGA-PBE) of a geometry-optimized PrTm2H8 structure.

density	7.72	g/cm3
total magnetic moment	0.00	μB per formula unit
total energy	-4.2811	eV/atom

a b c (Å): 6.339 6.339 6.339
angles (deg): 146.60 131.10 60.51
Atoms (fractional coordinates):
Pr (0.000, 0.000, 0.000)
Tm (0.329, 0.329, 0.000)
Tm (0.671, 0.671, 0.000)
H (0.102, 0.832, 0.270)
H (0.158, 0.658, 0.500)
H (0.292, 0.500, 0.792)
H (0.438, 0.168, 0.270)
H (0.562, 0.832, 0.730)
H (0.708, 0.500, 0.208)
H (0.842, 0.342, 0.500)
H (0.898, 0.168, 0.730)

No. 19
The following is a DFT calculation (GGA-PBE) of a geometry-optimized Pr3TmH8 structure.

density	6.27	g/cm3
total magnetic moment	0.00	μB per formula unit
total energy	-4.4541	eV/atom

a b c (Å): 5.416 5.416 5.416
angles (deg): 90.00 90.00 90.00
Atoms (fractional coordinates):
Pr (0.000, 0.000, 0.500)
Pr (0.000, 0.500, 0.000)
Pr (0.500, 0.000, 0.000)
Tm (0.500, 0.500, 0.500)
H (0.262, 0.262, 0.262)
H (0.262, 0.262, 0.738)
H (0.262, 0.738, 0.262)
H (0.262, 0.738, 0.738)
H (0.738, 0.262, 0.262)
H (0.738, 0.262, 0.738)
H (0.738, 0.738, 0.262)
H (0.738, 0.738, 0.738)

No. 20
The following is a DFT calculation (GGA-PBE) of a geometry-optimized PrTmH4 structure.

density	6.99	g/cm3
total magnetic moment	0.00	μB per formula unit
total energy	-4.4286	eV/atom

a b c (Å): 6.488 6.488 6.488
angles (deg): 131.69 131.69 70.71
Atoms (fractional coordinates):
Pr (0.375, 0.625, 0.750)
Pr (0.625, 0.375, 0.250)
Tm (0.125, 0.875, 0.250)
Tm (0.875, 0.125, 0.750)
H (0.000, 0.228, 0.228)
H (0.000, 0.772, 0.772)
H (0.228, 0.000, 0.728)
H (0.228, 0.500, 0.228)
H (0.500, 0.228, 0.728)
H (0.500, 0.772, 0.272)
H (0.772, 0.000, 0.272)
H (0.772, 0.500, 0.772)

No. 21
The following is a DFT calculation (GGA-PBE) of a geometry-optimized PrTmH2 structure.

density	8.25	g/cm3
total magnetic moment	0.00	μB per formula unit
total energy	-4.3403	eV/atom
energy relative to the lowest polymorph listed for this composition	0	meV/atom

a b c (Å): 6.119 6.119 6.119
angles (deg): 33.67 33.67 33.67
Atoms (fractional coordinates):
Pr (0.000, 0.000, 0.000)
Tm (0.500, 0.500, 0.500)
H (0.240, 0.240, 0.240)
H (0.760, 0.760, 0.760)